[1]
Compound: Sr2MgCoW
Source: Alexandria
Functional: GGA-PBE
Structure: relaxed

Values from the calculation:
E_tot in eV/atom: -4.24
Total magnetization in μB per formula unit: 1.9

Lattice parameters (Å, degrees): 5.7912 5.7912 4.5012 90.00 90.00 90.00
Last column: nearest neighbours and their distance in Å.
Space group P4/mmm (No. 123)
Asymmetric unit:
Sr 0.0000 0.5000 0.0000 (multiplicity 2)  2 Co 2.90
Mg 0.0000 0.0000 0.5000 (multiplicity 1)  8 Sr 3.67, 4 W 4.10
Co 0.5000 0.5000 0.0000 (multiplicity 1)  2 W 2.25
W 0.5000 0.5000 0.5000 (multiplicity 1)  2 Co 2.25

=====

[2]
Compound: SrMgCo2W
Source: Alexandria
Functional: GGA-PBE
Structure: relaxed

Values from the calculation:
E_tot in eV/atom: -4.50
Total magnetization in μB per formula unit: 5.7

Lattice parameters (Å, degrees): 4.6714 4.6714 4.9537 90.00 90.00 90.00
Last column: nearest neighbours and their distance in Å.
Space group P4/mmm (No. 123)
Asymmetric unit:
Sr 0.0000 0.0000 0.0000 (multiplicity 1)  4 W 3.30, 8 Co 3.40
Mg 0.5000 0.5000 0.5000 (multiplicity 1)  4 Co 2.34, 2 W 2.48
Co 0.0000 0.5000 0.5000 (multiplicity 2)  2 Mg 2.34
W 0.5000 0.5000 0.0000 (multiplicity 1)  2 Mg 2.48

=====

[3]
Compound: SrYMg2Co
Source: Alexandria
Functional: GGA-PBE
Structure: relaxed

Values from the calculation:
E_tot in eV/atom: -3.69
Total magnetization in μB per formula unit: 0.0

Lattice parameters (Å, degrees): 5.1945 5.1945 4.9747 90.00 90.00 90.00
Last column: nearest neighbours and their distance in Å.
Space group P4/mmm (No. 123)
Asymmetric unit:
Sr 0.0000 0.0000 0.0000 (multiplicity 1)  8 Mg 3.60, 4 Y 3.67
Y 0.5000 0.5000 0.0000 (multiplicity 1)  2 Co 2.49
Mg 0.0000 0.5000 0.5000 (multiplicity 2)  2 Co 2.60
Co 0.5000 0.5000 0.5000 (multiplicity 1)  2 Y 2.49, 4 Mg 2.60

=====

[4]
Compound: SrY2MgCo
Source: Alexandria
Functional: GGA-PBE
Structure: relaxed

Values from the calculation:
E_tot in eV/atom: -4.69
Total magnetization in μB per formula unit: 0.0

Lattice parameters (Å, degrees): 5.2264 5.2264 5.3295 90.00 90.00 90.00
Last column: nearest neighbours and their distance in Å.
Space group P4/mmm (No. 123)
Asymmetric unit:
Sr 0.0000 0.0000 0.0000 (multiplicity 1)  4 Mg 3.70, 8 Y 3.73
Y 0.0000 0.5000 0.5000 (multiplicity 2)  2 Co 2.61
Mg 0.5000 0.5000 0.0000 (multiplicity 1)  2 Co 2.66
Co 0.5000 0.5000 0.5000 (multiplicity 1)  4 Y 2.61, 2 Mg 2.66

=====

[5]
Compound: MgTaCo2
Source: Alexandria
Functional: GGA-PBE
Structure: relaxed

Values from the calculation:
E_tot in eV/atom: -6.75
Total magnetization in μB per formula unit: 1.1

Lattice parameters (Å, degrees): 3.0073 3.0073 23.4159 90.00 90.00 120.00
Last column: nearest neighbours and their distance in Å.
Space group R-3m (No. 166, hexagonal axes)
Asymmetric unit:
Mg 0.0000 0.0000 0.0000 (multiplicity 3)  6 Co 2.73, 6 Mg 3.01
Ta 0.0000 0.0000 0.5000 (multiplicity 3)  6 Co 2.50
Co 0.0000 0.0000 0.2433 (multiplicity 6)  3 Ta 2.50, 3 Mg 2.73

=====

[6]
Compound: MgTaCo
Source: Alexandria
Functional: GGA-PBE
Structure: relaxed

Values from the calculation:
E_tot in eV/atom: -6.64
Total magnetization in μB per formula unit: 0.0
Excess energy over the best structure of this formula in the dataset in meV/atom: 135

Lattice parameters (Å, degrees): 4.3550 4.3550 2.8092 90.00 90.00 120.00
Last column: nearest neighbours and their distance in Å.
Space group P3m1 (No. 156)
Asymmetric unit:
Mg 0.0000 0.0000 0.0000 (multiplicity 1)  3 Co 2.66, 2 Mg 2.81, 6 Ta 2.81-2.95
Ta 0.6667 0.3333 0.4476 (multiplicity 1)  3 Co 2.61, 2 Ta 2.81, 3 Mg 2.81
Co 0.3333 0.6667 0.6964 (multiplicity 1)  3 Ta 2.61, 3 Mg 2.66, 2 Co 2.81

=====

[7]
Compound: MgTaCo
Source: Alexandria
Functional: GGA-PBE
Structure: relaxed

Values from the calculation:
E_tot in eV/atom: -5.84
Total magnetization in μB per formula unit: 0.0
Excess energy over the best structure of this formula in the dataset in meV/atom: 936

Lattice parameters (Å, degrees): 6.0426 6.0426 6.0426 90.00 90.00 90.00
Last column: nearest neighbours and their distance in Å.
Space group F-43m (No. 216)
Asymmetric unit:
Mg 0.0000 0.0000 0.0000 (multiplicity 4)  4 Ta 2.62
Ta 0.2500 0.2500 0.7500 (multiplicity 4)  4 Co 2.62, 4 Mg 2.62
Co 0.0000 0.0000 0.5000 (multiplicity 4)  4 Ta 2.62

=====

[8]
Compound: MgTaCo2
Source: Alexandria
Functional: GGA-PBE
Structure: relaxed

Values from the calculation:
E_tot in eV/atom: -6.86
Total magnetization in μB per formula unit: 0.0

Lattice parameters (Å, degrees): 3.1367 4.0482 8.7598 90.00 90.00 90.00
Last column: nearest neighbours and their distance in Å.
Space group Imm2 (No. 44)
Asymmetric unit:
Mg 0.0000 0.0000 0.0000 (multiplicity 2)  6 Co 2.56-2.68, 4 Ta 2.83-2.86
Ta 0.0000 0.5000 0.7690 (multiplicity 2)  6 Co 2.54-2.57, 2 Mg 2.83
Co 0.0000 0.0000 0.4965 (multiplicity 2)  2 Ta 2.54, 4 Mg 2.56, 2 Co 2.73
Co 0.0000 0.5000 0.2516 (multiplicity 2)  4 Ta 2.57, 2 Mg 2.68, 2 Co 2.73

=====

[9]
Compound: Mg4TaCo
Source: Alexandria
Functional: GGA-PBE
Structure: relaxed

Values from the calculation:
E_tot in eV/atom: -3.54
Total magnetization in μB per formula unit: 2.2

Lattice parameters (Å, degrees): 7.6477 7.6477 7.6477 90.00 90.00 90.00
Last column: nearest neighbours and their distance in Å.
Space group F-43m (No. 216)
Asymmetric unit:
Mg 0.1245 0.1245 0.1245 (multiplicity 16)  6 Mg 2.69-2.72
Ta 0.2500 0.2500 0.7500 (multiplicity 4)  12 Mg 3.17, 4 Co 3.31
Co 0.0000 0.0000 0.5000 (multiplicity 4)  12 Mg 3.17, 4 Ta 3.31

=====

[10]
Compound: MgTa4Co
Source: Alexandria
Functional: GGA-PBE
Structure: relaxed

Values from the calculation:
E_tot in eV/atom: -8.77
Total magnetization in μB per formula unit: 0.3

Lattice parameters (Å, degrees): 7.6573 7.6573 7.6573 90.00 90.00 90.00
Last column: nearest neighbours and their distance in Å.
Space group F-43m (No. 216)
Asymmetric unit:
Mg 0.0000 0.0000 0.0000 (multiplicity 4)  12 Ta 3.17, 4 Co 3.32
Ta 0.1256 0.1256 0.6256 (multiplicity 16)  6 Ta 2.69-2.72
Co 0.2500 0.2500 0.2500 (multiplicity 4)  12 Ta 3.18, 4 Mg 3.32

=====

[11]
Compound: MgTaCo2
Source: Alexandria
Functional: GGA-PBE
Structure: relaxed

Values from the calculation:
E_tot in eV/atom: -6.48
Total magnetization in μB per formula unit: 0.0

Lattice parameters (Å, degrees): 6.6463 6.6463 5.5693 90.00 90.00 90.00
Last column: nearest neighbours and their distance in Å.
Space group I-42d (No. 122)
Asymmetric unit:
Mg 0.0000 0.0000 0.0000 (multiplicity 4)  4 Co 2.55, 2 Ta 2.78
Ta 0.0000 0.0000 0.5000 (multiplicity 4)  4 Co 2.36
Co 0.2284 0.2500 0.6250 (multiplicity 8)  2 Ta 2.36, 2 Mg 2.55

=====

[12]
Compound: MgTaCo2
Source: Alexandria
Functional: GGA-PBE
Structure: relaxed

Values from the calculation:
E_tot in eV/atom: -6.77
Total magnetization in μB per formula unit: 2.9

Lattice parameters (Å, degrees): 2.7859 2.7859 7.5940 90.00 90.00 90.00
Last column: nearest neighbours and their distance in Å.
Space group P4mm (No. 99)
Asymmetric unit:
Mg 0.0000 0.0000 0.0000 (multiplicity 1)  4 Co 2.73, 4 Mg 2.79
Ta 0.5000 0.5000 0.3268 (multiplicity 1)  4 Co 2.73, 4 Ta 2.79
Co 0.0000 0.0000 0.5752 (multiplicity 1)  4 Co 2.38
Co 0.5000 0.5000 0.7519 (multiplicity 1)  4 Co 2.38

=====

Values of energy of formation from the pure elements, in order: 0.765; 1.593; -0.002; -0.027; 0.164; 0.207; 1.009; 0.052; 0.679; 0.578; 0.436; 0.142, all in eV/atom.